1.
Below is a relaxed structure of TbYHo2, with properties calculated at the PBE level.

The structure in CIF format:
```
data_TbYHo2
_cell_length_a 3.5740
_cell_length_b 3.5740
_cell_length_c 34.3036
_cell_angle_alpha 90.00
_cell_angle_beta 90.00
_cell_angle_gamma 120.00
_space_group_name_H-M_alt 'R 3 m'
_space_group_IT_number 160
_space_group_name_Hall 'R 3 -2"'
loop_
_atom_site_label
_atom_site_type_symbol
_atom_site_fract_x
_atom_site_fract_y
_atom_site_fract_z
Tb1 Tb 0.0000 0.0000 0.0000
Y1 Y 0.0000 0.0000 0.8341
Ho1 Ho 0.0000 0.0000 0.4169
Ho2 Ho 0.0000 0.0000 0.5835
```

Distance to the lowest polymorph of the same formula   0.3 kJ per mole of atoms
DOS(E_F)   6.23 states/eV/f.u.

2.
Below is a relaxed structure of Tb2Y3Ho5, with properties calculated at the PBE level.

The structure in CIF format:
```
data_Tb2Y3Ho5
_cell_length_a 10.6365
_cell_length_b 15.6704
_cell_length_c 9.4563
_cell_angle_alpha 90.00
_cell_angle_beta 123.95
_cell_angle_gamma 90.00
_space_group_name_H-M_alt 'C 1 2/c 1'
_space_group_IT_number 15
_space_group_name_Hall '-C 2yc'
loop_
_atom_site_label
_atom_site_type_symbol
_atom_site_fract_x
_atom_site_fract_y
_atom_site_fract_z
Tb1 Tb 0.1435 0.1222 0.0486
Y1 Y 0.0000 0.2702 0.7500
Y2 Y 0.1549 0.3801 0.5462
Ho1 Ho 0.0000 0.0248 0.2500
Ho2 Ho 0.0000 0.2308 0.2500
Ho3 Ho 0.0000 0.4698 0.7500
Ho4 Ho 0.2378 0.3850 0.2266
```

Total energy   -4.95 eV/atom
DOS(E_F)   18.71 states/eV/f.u.

3.
Below is a relaxed structure of Tb2Y9Ho, with properties calculated at the PBE level.

The structure in CIF format:
```
data_Tb2Y9Ho
_cell_length_a 5.0440
_cell_length_b 5.0440
_cell_length_c 15.1326
_cell_angle_alpha 90.00
_cell_angle_beta 90.00
_cell_angle_gamma 90.00
_space_group_name_H-M_alt 'P 4/m m m'
_space_group_IT_number 123
_space_group_name_Hall '-P 4 2'
loop_
_atom_site_label
_atom_site_type_symbol
_atom_site_fract_x
_atom_site_fract_y
_atom_site_fract_z
Tb1 Tb 0.0000 0.0000 0.1668
Y1 Y 0.0000 0.5000 0.0000
Y2 Y 0.0000 0.5000 0.3337
Y3 Y 0.5000 0.5000 0.1670
Y4 Y 0.5000 0.5000 0.5000
Ho1 Ho 0.0000 0.0000 0.5000
```

Total energy   -5.98 eV/atom
DOS(E_F)   18.23 states/eV/f.u.

4.
Below is a relaxed structure of Tb3YHo4, with properties calculated at the PBE level.

The structure in CIF format:
```
data_Tb3YHo4
_cell_length_a 3.4801
_cell_length_b 6.6365
_cell_length_c 22.4353
_cell_angle_alpha 90.00
_cell_angle_beta 90.00
_cell_angle_gamma 90.00
_space_group_name_H-M_alt 'I m m m'
_space_group_IT_number 71
_space_group_name_Hall '-I 2 2'
loop_
_atom_site_label
_atom_site_type_symbol
_atom_site_fract_x
_atom_site_fract_y
_atom_site_fract_z
Tb1 Tb 0.0000 0.0000 0.0000
Tb2 Tb 0.0000 0.0000 0.2391
Y1 Y 0.0000 0.0000 0.5000
Ho1 Ho 0.0000 0.2557 0.3752
```

Distance to the lowest polymorph of the same formula   15.9 kJ per mole of atoms
DOS(E_F)   13.91 states/eV/f.u.

5.
Below is a relaxed structure of Tb7YHo5, with properties calculated at the PBE level.

The structure in CIF format:
```
data_Tb7YHo5
_cell_length_a 6.6610
_cell_length_b 11.1510
_cell_length_c 11.5193
_cell_angle_alpha 90.00
_cell_angle_beta 90.00
_cell_angle_gamma 90.00
_space_group_name_H-M_alt 'I m m 2'
_space_group_IT_number 44
_space_group_name_Hall 'I 2 -2'
loop_
_atom_site_label
_atom_site_type_symbol
_atom_site_fract_x
_atom_site_fract_y
_atom_site_fract_z
Tb1 Tb 0.0000 0.0000 0.0000
Tb2 Tb 0.0000 0.0000 0.3051
Tb3 Tb 0.0000 0.3263 0.2439
Tb4 Tb 0.0000 0.3306 0.7452
Tb5 Tb 0.0000 0.5000 0.4904
Y1 Y 0.0000 0.0000 0.6896
Ho1 Ho 0.0000 0.5000 0.9957
Ho2 Ho 0.2328 0.2287 0.4962
```

Distance to the lowest polymorph of the same formula   0.0 kJ per mole of atoms
DOS(E_F)   24.20 states/eV/f.u.

6.
Below is a relaxed structure of Tb3Y7Ho2, with properties calculated at the PBE level.

The structure in CIF format:
```
data_Tb3Y7Ho2
_cell_length_a 6.1910
_cell_length_b 5.5609
_cell_length_c 12.0089
_cell_angle_alpha 90.00
_cell_angle_beta 92.08
_cell_angle_gamma 90.00
_space_group_name_H-M_alt 'P 1 2/m 1'
_space_group_IT_number 10
_space_group_name_Hall '-P 2y'
loop_
_atom_site_label
_atom_site_type_symbol
_atom_site_fract_x
_atom_site_fract_y
_atom_site_fract_z
Tb1 Tb 0.0000 0.0000 0.0000
Tb2 Tb 0.4489 0.5000 0.3357
Y1 Y 0.0584 0.5000 0.8204
Y2 Y 0.2642 0.0000 0.5491
Y3 Y 0.4117 0.0000 0.8339
Y4 Y 0.5000 0.5000 0.0000
Ho1 Ho 0.1150 0.0000 0.2793
```

Distance to the lowest polymorph of the same formula   21.4 kJ per mole of atoms
DOS(E_F)   20.22 states/eV/f.u.

7.
Below is a relaxed structure of Tb7Y3Ho, with properties calculated at the PBE level.

The structure in CIF format:
```
data_Tb7Y3Ho
_cell_length_a 7.0227
_cell_length_b 5.5459
_cell_length_c 9.8896
_cell_angle_alpha 90.00
_cell_angle_beta 110.43
_cell_angle_gamma 90.00
_space_group_name_H-M_alt 'P 1 2/m 1'
_space_group_IT_number 10
_space_group_name_Hall '-P 2y'
loop_
_atom_site_label
_atom_site_type_symbol
_atom_site_fract_x
_atom_site_fract_y
_atom_site_fract_z
Tb1 Tb 0.0000 0.0000 0.0000
Tb2 Tb 0.1470 0.5000 0.2927
Tb3 Tb 0.3218 0.5000 0.6411
Tb4 Tb 0.4174 0.0000 0.8299
Y1 Y 0.0000 0.0000 0.5000
Y2 Y 0.2787 0.5000 0.9987
Ho1 Ho 0.5000 0.0000 0.5000
```

Distance to the lowest polymorph of the same formula   0.0 kJ per mole of atoms
DOS(E_F)   17.54 states/eV/f.u.

8.
Below is a relaxed structure of Tb4YHo2, with properties calculated at the PBE level.

The structure in CIF format:
```
data_Tb4YHo2
_cell_length_a 6.1515
_cell_length_b 7.9485
_cell_length_c 9.3990
_cell_angle_alpha 85.14
_cell_angle_beta 77.17
_cell_angle_gamma 82.54
_space_group_name_H-M_alt 'P 1'
_space_group_IT_number 1
_space_group_name_Hall 'P 1'
loop_
_atom_site_label
_atom_site_type_symbol
_atom_site_fract_x
_atom_site_fract_y
_atom_site_fract_z
Tb1 Tb 0.0000 0.0000 0.0000
Tb2 Tb 0.0700 0.8572 0.3585
Tb3 Tb 0.2152 0.5738 0.0721
Tb4 Tb 0.2847 0.4306 0.4309
Tb5 Tb 0.4979 0.0005 0.5019
Tb6 Tb 0.7128 0.5730 0.5732
Tb7 Tb 0.7868 0.4300 0.9290
Tb8 Tb 0.9274 0.1434 0.6446
Y1 Y 0.4281 0.1433 0.1432
Y2 Y 0.8565 0.2871 0.2870
Ho1 Ho 0.1419 0.7153 0.7158
Ho2 Ho 0.3567 0.2871 0.7868
Ho3 Ho 0.5712 0.8580 0.8579
Ho4 Ho 0.6425 0.7152 0.2150
```

Distance to the lowest polymorph of the same formula   0.0 kJ per mole of atoms
DOS(E_F)   9.89 states/eV/f.u.